Computed, not measured: TiCdPtI2 after structural relaxation at the PBE level of DFT.

Structure (POSCAR):
```
TiCdPtI2
1.0
5.600 0.000 0.000
0.000 5.021 0.000
0.000 0.000 5.600
I Ti Pt Cd
2 1 1 1
Direct
0.000 0.000 0.500
0.500 0.000 0.000
0.000 0.500 0.000
0.000 0.000 0.000
0.500 0.500 0.500
```

- space group = No. 123
- ΔE_f (raw) (kJ per mole of atoms) = 32.2
- V (Å³ per cell) = 157.4